1.
TiCu2Mo (PBE, relaxed); ΔE_f = 191 kJ/mol of formula units; uncorrected energy = -6.234 eV/atom; size of the total moment = 0.000 μB per atom; E above lowest polymorph = 300.8 meV/atom
1.0
3.5605 0.0000 0.0000
0.0000 3.5605 0.0000
1.7803 1.7803 9.5570
Mo Cu Ti
2 4 2
Direct
0.0000 0.0000 0.0000
0.7500 0.2500 0.5000
0.6266 0.1250 0.2500
0.1234 0.6250 0.2500
0.3750 0.3734 0.7500
0.8750 0.8766 0.7500
0.5000 0.5000 0.0000
0.2500 0.7500 0.5000

***

2.
LiMg2P (PBE, relaxed); ΔE_f = -118 kJ/mol of formula units; uncorrected energy = -2.933 eV/atom; size of the total moment = 0.000 μB per atom
1.0
-0.0914 -4.0905 0.4189
3.0086 -1.9412 2.0239
-1.7174 -1.5014 5.3277
Li Mg P
1 2 1
Direct
0.1943 0.1943 0.4164
0.9734 0.9734 0.0786
0.7632 0.7632 0.7136
0.5691 0.5691 0.2913

***

3.
MnCdRu2 (PBE, relaxed); ΔE_f = 74 kJ/mol of formula units; uncorrected energy = -6.966 eV/atom; size of the total moment = 0.936 μB per atom
1.0
2.8183 0.0000 0.0000
0.0000 2.8183 0.0000
0.0000 0.0000 7.9122
Cd Mn Ru
1 1 2
Direct
0.0000 0.0000 0.4946
0.5000 0.5000 0.7747
0.0000 0.0000 0.0106
0.5000 0.5000 0.2201

***

4.
Tb12In6Co (PBE, relaxed); ΔE_f = -370 kJ/mol of formula units; uncorrected energy = -4.365 eV/atom; size of the total moment = 0.000 μB per atom
1.0
-7.4428 0.2583 3.6375
3.7096 -3.6749 6.4364
2.1098 7.6604 2.3582
Tb In Co
12 6 1
Direct
0.7971 0.5742 0.4585
0.4585 0.7971 0.5742
0.5742 0.4585 0.7971
0.2029 0.4258 0.5415
0.5415 0.2029 0.4258
0.4258 0.5415 0.2029
0.9771 0.0872 0.3098
0.9128 0.6902 0.0229
0.6902 0.0229 0.9128
0.0229 0.9128 0.6902
0.0872 0.3098 0.9771
0.3098 0.9771 0.0872
0.6524 0.8616 0.2641
0.7359 0.3476 0.1384
0.1384 0.7359 0.3476
0.3476 0.1384 0.7359
0.2641 0.6524 0.8616
0.8616 0.2641 0.6524
0.0000 0.0000 0.0000

***

5.
SrSi2Ru (PBE, relaxed); uncorrected energy = -5.663 eV/atom; E_form (uncorrected) = -0.212 eV/atom; size of the total moment = 0.000 μB per atom
1.0
3.7783 0.0000 0.0000
0.0000 3.5973 -0.0311
0.0000 0.3304 6.0848
Ru Si Sr
1 2 1
Direct
0.5000 0.6570 0.9249
0.0000 0.0911 0.9304
0.5000 0.1393 0.1826
0.0000 0.6126 0.4621

***

6.
HgGeC3 (PBE, relaxed); ΔE_f = 1294 kJ/mol of formula units; uncorrected energy = -3.836 eV/atom; size of the total moment = 0.000 μB per atom; E above lowest polymorph = 0.0 meV/atom
1.0
-2.3412 1.8699 -2.7277
0.0403 -3.3256 -2.3144
-3.3068 -1.3644 1.9029
C Ge Hg
3 1 1
Direct
0.0000 0.5000 0.0000
0.0000 0.0000 0.5000
0.5000 0.0000 0.0000
0.0000 0.0000 0.0000
0.5000 0.5000 0.5000

***

7.
SiMo2Pb (PBE, relaxed); uncorrected energy = -7.328 eV/atom; E_form (uncorrected) = 0.371 eV/atom; size of the total moment = 0.000 μB per atom; E above lowest polymorph = 211.5 meV/atom
1.0
9.0050 0.0248 0.0146
8.4578 3.0913 0.0146
8.4578 1.5092 2.6979
Mo Pb Si
2 1 1
Direct
0.9991 0.9991 0.9991
0.7394 0.7394 0.7394
0.4985 0.4985 0.4985
0.2630 0.2630 0.2630

***

8.
Li2HgBS (PBE, relaxed); uncorrected energy = -2.545 eV/atom; E_form (uncorrected) = 0.441 eV/atom; size of the total moment = 0.000 μB per atom
1.0
5.0070 0.0000 0.0000
0.0000 4.0905 0.0000
0.0000 0.0000 5.0070
S B Hg Li
1 1 1 2
Direct
0.5000 0.5000 0.5000
0.0000 0.5000 0.0000
0.0000 0.0000 0.0000
0.0000 0.0000 0.5000
0.5000 0.0000 0.0000